No. 1
# Rb3Tl4Pd

A relaxed structure of Rb3Tl4Pd (GGA-PBE, Alexandria via LeMat-Bulk).

Calculated values
formation enthalpy at 0 K	-0.0903	eV/atom
size of the total moment	0.0	μB per cell
DOS at the Fermi energy	0.5382	states/eV/atom
calculated volume	651	Å³ per cell

a = 6.7495 Å, b = 14.2052 Å, c = 6.7940 Å
α = 90.00°, β = 90.00°, γ = 90.00°
Last column: nearest neighbours and their distance in Å.
Space group Pmmn (No. 59, origin choice 2)
Asymmetric unit:
Rb1 0.2500 0.0090 0.1839  1 Pd 3.56, 2 Tl 3.67-3.95
Rb2 0.2500 0.7500 0.5113  2 Pd 3.54, 8 Tl 3.65-3.95
Tl1 0.0111 0.7500 0.9939  1 Pd 2.82
Tl2 0.2500 0.1311 0.6608  1 Pd 2.81
Pd1 0.2500 0.2500 0.3297  4 Tl 2.81-2.82



No. 2
# CaY2Ta

A relaxed structure of CaY2Ta (GGA-PBE, Alexandria via LeMat-Bulk).

Calculated values
formation enthalpy at 0 K	0.2903	eV/atom
size of the total moment	0.0	μB per cell
DOS at the Fermi energy	1.5807	states/eV/atom
calculated volume	119	Å³ per cell

a = 3.3657 Å, b = 3.3661 Å, c = 10.5176 Å
α = 90.00°, β = 90.06°, γ = 90.00°
Last column: nearest neighbours and their distance in Å.
Space group P2/m (No. 10)
Asymmetric unit:
Ca1 0.0000 0.0000 0.0000  4 Ca 3.37
Y1 0.4990 0.5000 0.3009  4 Ta 3.17, 4 Y 3.37
Ta1 0.0000 0.0000 0.5000  8 Y 3.17, 4 Ta 3.37



No. 3
# SiNi2Se

A relaxed structure of SiNi2Se (GGA-PBE, Alexandria via LeMat-Bulk).

Calculated values
formation energy (no corrections)	0.0459	eV/atom
size of the total moment	0.0	μB per cell
DOS at the Fermi energy	0.1444	states/eV/atom
calculated volume	212	Å³ per cell

a = 5.9617 Å, b = 5.9617 Å, c = 5.9617 Å
α = 90.00°, β = 90.00°, γ = 90.00°
Last column: nearest neighbours and their distance in Å.
Space group Fm-3m (No. 225)
Asymmetric unit:
Si1 0.0000 0.0000 0.0000  8 Ni 2.58
Ni1 0.2500 0.2500 0.2500  4 Se 2.58, 4 Si 2.58
Se1 0.0000 0.0000 0.5000  8 Ni 2.58



No. 4
# PmTmAlGe

A relaxed structure of PmTmAlGe (GGA-PBE, Alexandria via LeMat-Bulk).

Calculated values
formation enthalpy at 0 K	-0.6692	eV/atom
size of the total moment	0.0	μB per cell
DOS at the Fermi energy	0.7516	states/eV/atom
calculated volume	195	Å³ per cell

a = 4.0430 Å, b = 4.4157 Å, c = 10.9378 Å
α = 90.00°, β = 90.00°, γ = 90.00°
Last column: nearest neighbours and their distance in Å.
Space group Amm2 (No. 38)
Asymmetric unit:
Pm1 0.0000 0.0000 0.0000  4 Ge 3.08, 3 Al 3.09-3.24
Tm1 0.5000 0.0000 0.2815  4 Al 3.07, 3 Ge 3.10-3.24
Al1 0.0000 0.0000 0.7172  2 Ge 2.62
Ge1 0.5000 0.0000 0.5650  2 Al 2.62



No. 5
# DyTm3Te2

A relaxed structure of DyTm3Te2 (GGA-PBE, Alexandria via LeMat-Bulk).

Calculated values
formation energy (no corrections)	-0.7906	eV/atom
size of the total moment	0.0	μB per cell
DOS at the Fermi energy	0.7972	states/eV/atom
calculated volume	694	Å³ per cell

a = 16.0981 Å, b = 4.0663 Å, c = 11.2625 Å
α = 90.00°, β = 109.64°, γ = 90.00°
Last column: nearest neighbours and their distance in Å.
Space group C2/m (No. 12)
Asymmetric unit:
Dy1 0.1190 0.0000 0.0469  7 Te 3.08-3.33
Tm1 0.0596 0.0000 0.4044  2 Te 3.24, 8 Tm 3.33-3.62
Tm2 0.1248 0.5000 0.6609  3 Te 3.07-3.41, 4 Tm 3.40-3.41
Tm3 0.2160 0.5000 0.3778  2 Te 3.07-3.32, 6 Tm 3.30-3.41
Te1 0.0140 0.5000 0.1676  4 Dy 3.22-3.33, 4 Tm 3.24-3.41
Te2 0.2295 0.0000 0.8588  3 Tm 3.07, 3 Dy 3.08-3.19



No. 6
# Ac6SmSn2

A relaxed structure of Ac6SmSn2 (GGA-PBE, Alexandria via LeMat-Bulk).

Calculated values
formation enthalpy at 0 K	-0.1974	eV/atom
size of the total moment	0.0	μB per cell
DOS at the Fermi energy	1.2490	states/eV/atom
calculated volume	1452	Å³ per cell

a = 21.1973 Å, b = 12.1645 Å, c = 5.6323 Å
α = 90.00°, β = 90.02°, γ = 90.00°
Last column: nearest neighbours and their distance in Å.
Space group C2/c (No. 15)
Asymmetric unit:
Ac1 0.0849 0.0827 0.2481  3 Sn 3.34-3.43, 4 Ac 3.46-3.60
Ac2 0.0989 0.3912 0.2503  7 Ac 3.76-4.20, 2 Sm 3.88-3.89, 2 Sn 4.01-4.03
Ac3 0.2459 0.3892 0.7512  3 Sn 3.29-3.64, 1 Ac 3.60
Sm1 0.0000 0.2546 0.7500  2 Sn 3.36
Sn1 0.1518 0.1743 0.7483  6 Ac 3.29-3.64, 1 Sm 3.36



No. 7
# TmHf2Ga7

A relaxed structure of TmHf2Ga7 (GGA-PBE, Alexandria via LeMat-Bulk).

Calculated values
formation enthalpy at 0 K	0.0016	eV/atom
size of the total moment	0.0	μB per cell
DOS at the Fermi energy	0.4816	states/eV/atom
calculated volume	447	Å³ per cell

a = 7.2407 Å, b = 13.4308 Å, c = 4.6014 Å
α = 90.00°, β = 90.00°, γ = 90.00°
Last column: nearest neighbours and their distance in Å.
Space group Cmmm (No. 65)
Asymmetric unit:
Tm1 0.0000 0.0000 0.0000  8 Ga 3.01
Hf1 0.0000 0.2765 0.5000  7 Ga 2.71-3.00
Ga1 0.0000 0.3927 0.0000  3 Ga 2.72-2.88, 2 Hf 2.78
Ga2 0.0000 0.5000 0.5000  8 Ga 2.64-2.72
Ga3 0.1888 0.1021 0.5000  3 Ga 2.64-2.74, 2 Hf 2.71-2.78



No. 8
# Sr2HgSb

A relaxed structure of Sr2HgSb (GGA-PBE, Alexandria via LeMat-Bulk).

Calculated values
formation energy (no corrections)	-0.3631	eV/atom
size of the total moment	0.0	μB per cell
DOS at the Fermi energy	0.1659	states/eV/atom
calculated volume	725	Å³ per cell

a = 6.0869 Å, b = 6.0869 Å, c = 19.5799 Å
α = 90.00°, β = 90.00°, γ = 90.00°
Last column: nearest neighbours and their distance in Å.
Space group I-42d (No. 122)
Asymmetric unit:
Sr1 0.2409 0.2500 0.1250  2 Sb 3.23, 2 Hg 3.29
Hg1 0.0000 0.0000 0.5000  4 Sr 3.29
Sb1 0.0000 0.0000 0.0000  4 Sr 3.23



No. 9
# Pr2Al4PtRh3

A relaxed structure of Pr2Al4PtRh3 (GGA-PBE, Alexandria via LeMat-Bulk).

Calculated values
formation enthalpy at 0 K	-0.9317	eV/atom
size of the total moment	0.0	μB per cell
DOS at the Fermi energy	0.4927	states/eV/atom
calculated volume	189	Å³ per cell

a = 4.2794 Å, b = 4.2794 Å, c = 10.3201 Å
α = 90.00°, β = 90.00°, γ = 90.00°
Last column: nearest neighbours and their distance in Å.
Space group P-4m2 (No. 115)
Asymmetric unit:
Pr1 0.0000 0.5000 0.2457  8 Al 3.27-3.39, 6 Rh 3.29-3.32, 2 Pt 3.32
Al1 0.0000 0.0000 0.5000  4 Rh 2.52
Al2 0.0000 0.5000 0.8737  3 Rh 2.51-2.53, 2 Pt 2.51
Al3 0.5000 0.5000 0.5000  4 Rh 2.52
Pt1 0.5000 0.5000 0.0000  4 Al 2.51
Rh1 0.0000 0.0000 0.0000  4 Al 2.51
Rh2 0.0000 0.5000 0.6290  5 Al 2.52-2.53



No. 10
# Tl2NiRu

A relaxed structure of Tl2NiRu (GGA-PBE, Alexandria via LeMat-Bulk).

Calculated values
formation enthalpy at 0 K	0.4740	eV/atom
size of the total moment	0.0	μB per cell
DOS at the Fermi energy	0.5189	states/eV/atom
calculated volume	70	Å³ per cell

a = 3.3295 Å, b = 3.3295 Å, c = 6.3464 Å
α = 90.00°, β = 90.00°, γ = 90.00°
Last column: nearest neighbours and their distance in Å.
Space group P4/mmm (No. 123)
Asymmetric unit:
Tl1 0.0000 0.0000 0.2453  4 Ni 2.82, 4 Ru 2.86, 1 Tl 3.11
Ni1 0.5000 0.5000 0.0000  8 Tl 2.82
Ru1 0.5000 0.5000 0.5000  8 Tl 2.86, 2 Ni 3.17



No. 11
# LiTb2Pd3

A relaxed structure of LiTb2Pd3 (GGA-PBE, Alexandria via LeMat-Bulk).

Calculated values
formation enthalpy at 0 K	-0.7565	eV/atom
size of the total moment	0.0	μB per cell
DOS at the Fermi energy	0.3094	states/eV/atom
calculated volume	116	Å³ per cell

a = 3.4811 Å, b = 3.4811 Å, c = 9.5875 Å
α = 90.00°, β = 90.00°, γ = 90.00°
Last column: nearest neighbours and their distance in Å.
Space group P4/mmm (No. 123)
Asymmetric unit:
Li1 0.0000 0.0000 0.0000  8 Pd 2.83, 2 Tb 3.02
Tb1 0.0000 0.0000 0.3148  8 Pd 2.95-3.04, 1 Li 3.02
Pd1 0.5000 0.5000 0.1461  1 Pd 2.80, 4 Li 2.83, 4 Tb 2.95
Pd2 0.5000 0.5000 0.5000  8 Tb 3.04, 2 Pd 3.39



No. 12
# ZnCrCl2

A relaxed structure of ZnCrCl2 (GGA-PBE, Alexandria via LeMat-Bulk).

Calculated values
formation energy (no corrections)	0.1822	eV/atom
size of the total moment	17.0	μB per cell
DOS at the Fermi energy	1.1714	states/eV/atom
calculated volume	316	Å³ per cell

a = 6.8142 Å, b = 6.8142 Å, c = 6.8142 Å
α = 90.00°, β = 90.00°, γ = 90.00°
Last column: nearest neighbours and their distance in Å.
Space group F-43m (No. 216)
Asymmetric unit:
Zn1 0.0000 0.0000 0.0000  4 Cr 2.95, 4 Cl 2.95
Cr1 0.2500 0.2500 0.7500  4 Cl 2.95, 4 Zn 2.95
Cl1 0.0000 0.0000 0.5000  4 Cr 2.95, 4 Cl 2.95
Cl2 0.2500 0.2500 0.2500  4 Cl 2.95, 4 Zn 2.95



No. 13
# ZrTaCu2

A relaxed structure of ZrTaCu2 (GGA-PBE, Alexandria via LeMat-Bulk).

Calculated values
formation enthalpy at 0 K	0.0485	eV/atom
size of the total moment	0.0	μB per cell
DOS at the Fermi energy	0.9841	states/eV/atom
calculated volume	65	Å³ per cell

a = 2.7986 Å, b = 3.8387 Å, c = 6.0549 Å
α = 90.00°, β = 90.00°, γ = 90.00°
Last column: nearest neighbours and their distance in Å.
Space group Pmmm (No. 47)
Asymmetric unit:
Zr1 0.0000 0.0000 0.0000  2 Zr 2.80, 8 Cu 2.90, 2 Ta 3.03
Ta1 0.0000 0.0000 0.5000  8 Cu 2.74, 2 Ta 2.80, 2 Zr 3.03
Cu1 0.5000 0.5000 0.2746  3 Cu 2.73-2.80, 4 Ta 2.74, 4 Zr 2.90



No. 14
# Er4CdRu

A relaxed structure of Er4CdRu (GGA-PBE, Alexandria via LeMat-Bulk).

Calculated values
formation enthalpy at 0 K	-0.1548	eV/atom
size of the total moment	0.0	μB per cell
DOS at the Fermi energy	0.8126	states/eV/atom
calculated volume	334	Å³ per cell

a = 8.1617 Å, b = 7.1047 Å, c = 5.8702 Å
α = 90.00°, β = 100.96°, γ = 90.00°
Last column: nearest neighbours and their distance in Å.
Space group P2_1/c (No. 14)
Asymmetric unit:
Er1 0.1341 0.1404 0.4134  2 Ru 2.66-2.86
Er2 0.2935 0.6245 0.4424  1 Ru 2.64
Cd1 0.5000 0.0000 0.5000  6 Er 3.10-3.47
Ru1 0.0000 0.0000 0.0000  6 Er 2.64-2.86



No. 15
# Nd6Sm3Er2

A relaxed structure of Nd6Sm3Er2 (GGA-PBE, Alexandria via LeMat-Bulk).

Calculated values
formation enthalpy at 0 K	0.2809	eV/atom
size of the total moment	0.0	μB per cell
DOS at the Fermi energy	1.5424	states/eV/atom
calculated volume	783	Å³ per cell

a = 4.8072 Å, b = 4.8072 Å, c = 33.9023 Å
α = 90.00°, β = 90.00°, γ = 90.00°
Last column: nearest neighbours and their distance in Å.
Space group I4/mmm (No. 139)
Asymmetric unit:
Nd1 0.0000 0.0000 0.2022  5 Sm 3.40-3.43, 4 Nd 3.70
Nd2 0.0000 0.5000 0.1194  6 Nd 3.40-3.70, 2 Er 3.48, 2 Sm 3.55
Sm1 0.0000 0.0000 0.3034  9 Nd 3.40-3.55
Sm2 0.0000 0.0000 0.5000  8 Er 3.73
Er1 0.0000 0.0000 0.0452  1 Er 3.06



No. 16
# MgSc3

A relaxed structure of MgSc3 (GGA-PBE, Alexandria via LeMat-Bulk).

Calculated values
formation enthalpy at 0 K	0.0232	eV/atom
size of the total moment	0.0	μB per cell
DOS at the Fermi energy	1.5367	states/eV/atom
calculated volume	291	Å³ per cell

a = 3.2428 Å, b = 3.2428 Å, c = 31.9100 Å
α = 90.00°, β = 90.00°, γ = 120.00°
Last column: nearest neighbours and their distance in Å.
Space group R-3m (No. 166, hexagonal axes)
Asymmetric unit:
Mg1 0.0000 0.0000 0.0000  6 Mg 3.24, 6 Sc 3.27
Sc1 0.0000 0.0000 0.2495  9 Sc 3.24, 3 Mg 3.27
Sc2 0.0000 0.0000 0.5000  12 Sc 3.24



No. 17
# LaSmGeAu

A relaxed structure of LaSmGeAu (GGA-PBE, Alexandria via LeMat-Bulk).

Calculated values
formation enthalpy at 0 K	-0.7387	eV/atom
size of the total moment	3.4	μB per cell
DOS at the Fermi energy	0.8390	states/eV/atom
calculated volume	414	Å³ per cell

a = 7.4533 Å, b = 7.4533 Å, c = 7.4533 Å
α = 90.00°, β = 90.00°, γ = 90.00°
Last column: nearest neighbours and their distance in Å.
Space group F-43m (No. 216)
Asymmetric unit:
La1 0.0000 0.0000 0.0000  4 Ge 3.23, 4 Au 3.23
Sm1 0.0000 0.0000 0.5000  4 Au 3.23, 4 Ge 3.23
Ge1 0.2500 0.2500 0.7500  4 La 3.23, 4 Sm 3.23
Au1 0.2500 0.2500 0.2500  4 La 3.23, 4 Sm 3.23



No. 18
# RbZrCBr2

A relaxed structure of RbZrCBr2 (GGA-PBE, Alexandria via LeMat-Bulk).

Calculated values
formation energy (no corrections)	1.9978	eV/atom
size of the total moment	5.0	μB per cell
DOS at the Fermi energy	1.2162	states/eV/atom
calculated volume	228	Å³ per cell

a = 6.0859 Å, b = 6.0859 Å, c = 6.1561 Å
α = 90.00°, β = 90.00°, γ = 90.00°
Last column: nearest neighbours and their distance in Å.
Space group P4/mmm (No. 123)
Asymmetric unit:
Rb1 0.0000 0.0000 0.0000  4 Br 3.04, 2 Zr 3.08
Zr1 0.0000 0.0000 0.5000  2 Rb 3.08
C1 0.5000 0.5000 0.5000  4 Zr 4.30, 8 Br 4.33
Br1 0.0000 0.5000 0.0000  2 Rb 3.04



No. 19
# Hf2SiB

A relaxed structure of Hf2SiB (GGA-PBE, Alexandria via LeMat-Bulk).

Calculated values
formation energy (no corrections)	-0.7491	eV/atom
size of the total moment	0.0	μB per cell
DOS at the Fermi energy	0.3549	states/eV/atom
calculated volume	120	Å³ per cell

a = 5.1140 Å, b = 3.4038 Å, c = 7.3009 Å
α = 90.00°, β = 109.12°, γ = 90.00°
Last column: nearest neighbours and their distance in Å.
Space group P2_1/m (No. 11)
Asymmetric unit:
Hf1 0.2038 0.2500 0.4158  3 B 2.55-2.83, 4 Si 2.69-2.75
Hf2 0.2650 0.7500 0.0628  3 B 2.55-2.65, 3 Si 2.69-2.70
Si1 0.3532 0.7500 0.7181  2 B 2.16
B1 0.1422 0.2500 0.7874  2 Si 2.16



No. 20
# InPt2W

A relaxed structure of InPt2W (GGA-PBE, Alexandria via LeMat-Bulk).

Calculated values
formation enthalpy at 0 K	-0.0006	eV/atom
size of the total moment	0.0	μB per cell
DOS at the Fermi energy	0.8585	states/eV/atom
calculated volume	136	Å³ per cell

a = 9.1772 Å, b = 2.8877 Å, c = 5.1783 Å
α = 90.00°, β = 97.83°, γ = 90.00°
Last column: nearest neighbours and their distance in Å.
Space group C2/m (No. 12)
Asymmetric unit:
In1 0.0000 0.0000 0.0000  6 Pt 2.81-2.93, 2 In 2.89, 4 W 2.96
Pt1 0.2464 0.0000 0.7307  3 W 2.76-2.81, 4 Pt 2.80-2.89, 3 In 2.81-2.93
W1 0.0000 0.5000 0.5000  6 Pt 2.76-2.81, 2 W 2.89, 4 In 2.96